Here is crystalline LaTb5SmHo2 at its relaxed geometry from the Alexandria database. Energies are from PBE.

E_form: 0.281 eV/atom

abc: 9.768 9.768 9.768
angles: 125.02 125.02 81.50
Element x y z (fractional)
La  0.250  0.250  0.000
La  0.750  0.750  0.000
Tb  0.000  0.000  0.000
Tb  0.073  0.573  0.905
Tb  0.168  0.073  0.500
Tb  0.332  0.832  0.905
Tb  0.427  0.332  0.500
Tb  0.500  0.500  0.000
Tb  0.573  0.668  0.500
Tb  0.668  0.168  0.095
Tb  0.832  0.927  0.500
Tb  0.927  0.427  0.095
Sm  0.250  0.750  0.500
Sm  0.750  0.250  0.500
Ho  0.113  0.387  0.500
Ho  0.387  0.887  0.275
Ho  0.613  0.113  0.725
Ho  0.887  0.613  0.500